1.
5
Lattice="5.5468 0.0000 0.0000 0.0000 5.5468 0.0000 0.0000 0.0000 5.4852" Properties=species:S:1:pos:R:3 comment="GaGeSbI2 | Alexandria | PBE | relaxed" energy_ha_per_atom=-0.091 de_polymorph_ev_per_fu=1.12 total_magnetization_mub_per_cell=0.00 e_form_raw_ev_per_atom=0.492 pbc="T T T"
Ga 0.0000 0.0000 0.0000
Ge 2.7734 2.7734 2.7426
Sb 0.0000 0.0000 2.7426
I 0.0000 2.7734 0.0000
I 2.7734 0.0000 0.0000


2.
4
Lattice="-1.9182 1.9182 3.8861 1.9182 -1.9182 3.8861 1.9182 1.9182 -3.8861" Properties=species:S:1:pos:R:3 comment="Cu2ReAg | Alexandria | PBE | relaxed" energy_ha_per_atom=-0.190 de_polymorph_ev_per_fu=1.78 ef_mev_per_atom=708.3 total_magnetization_mub_per_cell=1.22 pbc="T T T"
Cu 0.0000 0.0000 0.0000
Cu 0.0000 1.9182 1.9431
Re 1.9182 0.0000 1.9431
Ag 0.0000 0.0000 3.8861